VASP calculation (PBE) on an optimized crystal structure of Na2PmRuO4.

Cell and atoms, written as POSCAR:
```
Na2PmRuO4
1.0
-2.243 1.032 -2.336
-1.653 -5.205 -0.713
-3.267 2.502 4.242
Na Ru O Pm
2 1 4 1
Cartesian
-2.755 1.767 0.953 Na
-2.460 -1.351 1.765 Na
0.000 0.000 0.000 Ru
-2.106 -0.010 -0.455 O
-2.925 0.688 3.112 O
-1.996 -3.390 0.418 O
-5.057 -1.661 1.648 O
-1.948 -2.086 -1.524 Pm
```

Calculated values
Total magnetization: 1.01 μB/f.u.
Energy relative to the elements, uncorrected: -1801.9 meV per atom
Uncorrected energy: -50.913 eV per formula unit